No. 1
Ba3Pm2NdSe6 | Alexandria via LeMat-Bulk | PBE-GGA | optimized geometry; space-group type = No. 12; formation energy (no corrections) = -1915 meV per atom; total energy = -63.924 eV/cell
1.0
3.7948 -6.5655 0.0000
3.7948 6.5655 0.0000
-2.5314 0.0000 7.4304
Ba Pm Nd Se
3 2 1 6
Direct
0.0000 0.0000 0.0000
0.3338 0.6662 0.0000
0.6662 0.3338 0.0000
0.1667 0.8333 0.5000
0.8333 0.1667 0.5000
0.5000 0.5000 0.5000
0.0912 0.4263 0.2789
0.2385 0.2385 0.7207
0.4263 0.0912 0.2789
0.5737 0.9088 0.7211
0.7615 0.7615 0.2793
0.9088 0.5737 0.7211

***

No. 2
ZnCrNi14 | Alexandria via LeMat-Bulk | PBE-GGA | optimized geometry; space-group type = No. 123; energy relative to the elements = -0.023 eV/atom; total energy = -92.201 eV/cell
1.0
5.0108 0.0000 0.0000
0.0000 5.0108 0.0000
0.0000 0.0000 7.0482
Zn Cr Ni
1 1 14
Direct
0.0000 0.0000 0.0000
0.5000 0.5000 0.0000
0.0000 0.0000 0.5000
0.0000 0.5000 0.0000
0.0000 0.5000 0.5000
0.2524 0.2524 0.2523
0.2524 0.2524 0.7477
0.2524 0.7476 0.2523
0.2524 0.7476 0.7477
0.5000 0.0000 0.0000
0.5000 0.0000 0.5000
0.5000 0.5000 0.5000
0.7476 0.2524 0.2523
0.7476 0.2524 0.7477
0.7476 0.7476 0.2523
0.7476 0.7476 0.7477

***

No. 3
Cs2Cu2HgCl6 | Alexandria via LeMat-Bulk | PBE-GGA | optimized geometry; space-group type = No. 12; formation energy (no corrections) = -1064 meV per atom; total energy = -32.982 eV/cell
1.0
6.5599 -3.7568 0.0000
6.5599 3.7568 0.0000
-3.8548 0.0000 6.7140
Cs Cu Hg Cl
2 2 1 6
Direct
0.2296 0.2296 0.2102
0.7704 0.7704 0.7898
0.4398 0.4398 0.7915
0.5602 0.5602 0.2085
0.0000 0.0000 0.5000
0.2214 0.7265 0.2202
0.2485 0.2485 0.7004
0.2735 0.7786 0.7798
0.7265 0.2214 0.2202
0.7515 0.7515 0.2996
0.7786 0.2735 0.7798